Here is a relaxed Li2TcRu crystal from the Alexandria database. Energies are from PBE-GGA.

abc: 9.4914 9.4914 9.4914
angles: 16.00 16.00 16.00
Last column: nearest neighbours and their distance in Å.
Element x y z (fractional)
Li  0.2478  0.2478  0.2478  6 Li 2.64, 3 Ru 2.74, 3 Tc 2.85
Li  0.7522  0.7522  0.7522  6 Li 2.64, 3 Ru 2.74, 3 Tc 2.85
Tc  0.0000  0.0000  0.0000  6 Tc 2.64, 6 Li 2.85
Ru  0.5000  0.5000  0.5000  6 Ru 2.64, 6 Li 2.74

Formation energy from the elements, eV per atom: 0.29
Magnetization, μB/atom: 0.275

---

Here is a relaxed Li2TcRu crystal from the Alexandria database. Energies are from PBE-GGA.

abc: 2.6458 4.0996 5.3699
angles: 90.00 101.44 90.00
Last column: nearest neighbours and their distance in Å.
Element x y z (fractional)
Li  0.0000  0.0000  0.0000  4 Li 2.49-2.65, 1 Tc 2.65, 2 Ru 2.71
Li  0.2865  0.5000  0.8057  4 Li 2.49-2.65, 1 Ru 2.65
Tc  0.4857  0.0000  0.4809  4 Ru 2.54-2.65, 2 Tc 2.65, 3 Li 2.65-2.81
Ru  0.8753  0.5000  0.3130  4 Tc 2.54-2.65, 2 Ru 2.65, 3 Li 2.65-2.71

Formation energy from the elements, eV per atom: 0.17
Magnetization, μB/atom: 0.000

---

Here is a relaxed LiTcRu4 crystal from the Alexandria database. Energies are from PBE-GGA.

abc: 5.0364 5.0364 5.0364
angles: 60.00 60.00 60.00
Last column: nearest neighbours and their distance in Å.
Element x y z (fractional)
Li  0.0000  0.0000  0.0000  12 Ru 2.95, 4 Tc 3.08
Tc  0.2500  0.2500  0.2500  12 Ru 2.95, 4 Li 3.08
Ru  0.1241  0.6253  0.6253  6 Ru 2.51-2.52
Ru  0.6253  0.1241  0.6253  6 Ru 2.51-2.52
Ru  0.6253  0.6253  0.1241  6 Ru 2.51-2.52
Ru  0.6253  0.6253  0.6253  6 Ru 2.51-2.52

Formation energy from the elements, eV per atom: 0.48
Magnetization, μB/atom: 0.000

---

Here is a relaxed Li2TcRu crystal from the Alexandria database. Energies are from PBE-GGA.

abc: 2.9643 2.9643 6.8696
angles: 90.00 90.00 90.00
Last column: nearest neighbours and their distance in Å.
Element x y z (fractional)
Li  0.0000  0.0000  0.0000  8 Li 2.79-2.96, 4 Tc 2.82
Li  0.5000  0.5000  0.2678  4 Ru 2.74, 8 Li 2.79-2.96
Tc  0.5000  0.5000  0.7244  4 Ru 2.51
Ru  0.0000  0.0000  0.5245  4 Tc 2.51, 4 Li 2.74

Formation energy from the elements, eV per atom: 0.18
Magnetization, μB/atom: 0.000

---

Here is a relaxed Li2TcRu crystal from the Alexandria database. Energies are from PBE-GGA.

abc: 4.1948 4.1948 4.1948
angles: 120.11 120.11 89.82
Last column: nearest neighbours and their distance in Å.
Element x y z (fractional)
Li  0.0000  0.0000  0.0000  4 Tc 2.57, 4 Li 2.57
Li  0.7500  0.2500  0.5000  4 Li 2.57, 4 Ru 2.57
Tc  0.2500  0.7500  0.5000  4 Li 2.57, 4 Ru 2.57
Ru  0.5000  0.5000  0.0000  4 Tc 2.57, 4 Li 2.57

Formation energy from the elements, eV per atom: 0.12
Magnetization, μB/atom: 0.000

---

Here is a relaxed Li2TcRu crystal from the Alexandria database. Energies are from PBE-GGA.

abc: 2.6659 2.6659 9.3708
angles: 90.00 90.00 115.12
Last column: nearest neighbours and their distance in Å.
Element x y z (fractional)
Li  0.0000  0.0000  0.0000  6 Li 2.67-2.86, 2 Tc 2.73
Li  0.5000  0.5000  0.2841  2 Ru 2.65, 6 Li 2.67-2.86
Tc  0.5000  0.5000  0.7518  2 Ru 2.58, 6 Tc 2.67-2.86, 2 Li 2.73
Ru  0.0000  0.0000  0.5225  2 Tc 2.58, 2 Li 2.65, 6 Ru 2.67-2.86

Formation energy from the elements, eV per atom: 0.21
Magnetization, μB/atom: 0.000

---

Here is a relaxed Li2TcRu crystal from the Alexandria database. Energies are from PBE-GGA.

abc: 4.1465 4.1465 4.1465
angles: 60.00 60.00 60.00
Last column: nearest neighbours and their distance in Å.
Element x y z (fractional)
Li  0.2500  0.2500  0.2500  4 Ru 2.54, 4 Tc 2.54
Li  0.7500  0.7500  0.7500  4 Ru 2.54, 4 Tc 2.54
Tc  0.0000  0.0000  0.0000  8 Li 2.54
Ru  0.5000  0.5000  0.5000  8 Li 2.54

Formation energy from the elements, eV per atom: 0.67
Magnetization, μB/atom: 0.472

---

Here is a relaxed Li2TcRu crystal from the Alexandria database. Energies are from PBE-GGA.

abc: 5.3449 5.3449 5.3449
angles: 101.68 101.68 126.52
Last column: nearest neighbours and their distance in Å.
Element x y z (fractional)
Li  0.1203  0.6250  0.9953  2 Li 2.41, 2 Ru 2.44, 2 Tc 2.48
Li  0.3750  0.3703  0.4953  2 Li 2.41, 2 Ru 2.44, 2 Tc 2.48
Li  0.6297  0.1250  0.0047  2 Li 2.41, 2 Ru 2.44, 2 Tc 2.48
Li  0.8750  0.8797  0.5047  2 Li 2.41, 2 Ru 2.44, 2 Tc 2.48
Tc  0.2500  0.7500  0.5000  2 Ru 2.40, 4 Li 2.48
Tc  0.5000  0.5000  0.0000  2 Ru 2.40, 4 Li 2.48
Ru  0.0000  0.0000  0.0000  2 Tc 2.40, 4 Li 2.44
Ru  0.7500  0.2500  0.5000  2 Tc 2.40, 4 Li 2.44

Formation energy from the elements, eV per atom: 0.77
Magnetization, μB/atom: 0.000

---

Here is a relaxed LiTcRu crystal from the Alexandria database. Energies are from PBE-GGA.

abc: 2.7383 4.4790 7.1236
angles: 90.00 90.00 90.00
Last column: nearest neighbours and their distance in Å.
Element x y z (fractional)
Li  0.2500  0.2500  0.0256  6 Li 2.65-2.74, 2 Ru 2.73, 2 Tc 2.77
Li  0.7500  0.7500  0.9744  6 Li 2.65-2.74, 2 Ru 2.73, 2 Tc 2.77
Tc  0.2500  0.7500  0.6359  1 Ru 2.35
Tc  0.7500  0.2500  0.3641  1 Ru 2.35
Ru  0.2500  0.7500  0.3066  1 Tc 2.35
Ru  0.7500  0.2500  0.6934  1 Tc 2.35

Formation energy from the elements, eV per atom: 0.22
Magnetization, μB/atom: 0.000

---

Here is a relaxed LiTcRu crystal from the Alexandria database. Energies are from PBE-GGA.

abc: 4.9099 4.9099 4.9099
angles: 144.46 144.46 51.14
Last column: nearest neighbours and their distance in Å.
Element x y z (fractional)
Li  0.0000  0.0000  0.0000  4 Ru 2.58, 5 Tc 2.62-2.89
Tc  0.6743  0.6743  0.0000  4 Ru 2.55, 4 Li 2.62
Ru  0.3339  0.3339  0.0000  4 Tc 2.55, 4 Li 2.58

Formation energy from the elements, eV per atom: 0.14
Magnetization, μB/atom: 0.000

---

Here is a relaxed Li2TcRu crystal from the Alexandria database. Energies are from PBE-GGA.

abc: 3.0069 4.0583 4.5773
angles: 90.00 90.00 90.00
Last column: nearest neighbours and their distance in Å.
Element x y z (fractional)
Li  0.0000  0.0000  0.0000  4 Li 2.53, 4 Ru 2.74
Li  0.5000  0.5000  0.0000  4 Li 2.53, 4 Tc 2.74
Tc  0.0000  0.5000  0.5000  4 Ru 2.53, 4 Li 2.74
Ru  0.5000  0.0000  0.5000  4 Tc 2.53, 4 Li 2.74

Formation energy from the elements, eV per atom: 0.24
Magnetization, μB/atom: 0.000

---

Here is a relaxed Li2TcRu crystal from the Alexandria database. Energies are from PBE-GGA.

abc: 2.5361 4.5974 4.8527
angles: 90.00 99.10 90.00
Last column: nearest neighbours and their distance in Å.
Element x y z (fractional)
Li  0.2248  0.0000  0.2527  5 Li 2.54-2.82, 2 Ru 2.70, 2 Tc 2.75
Li  0.7752  0.0000  0.7473  5 Li 2.54-2.82, 2 Ru 2.70, 2 Tc 2.75
Tc  0.5000  0.5000  0.0000  2 Tc 2.54, 2 Ru 2.55, 4 Li 2.75
Ru  0.0000  0.5000  0.5000  2 Ru 2.54, 2 Tc 2.55, 4 Li 2.70

Formation energy from the elements, eV per atom: 0.25
Magnetization, μB/atom: 0.000

---

Here is a relaxed Li2TcRu crystal from the Alexandria database. Energies are from PBE-GGA.

abc: 2.6736 3.9450 5.5248
angles: 90.00 90.00 90.00
Last column: nearest neighbours and their distance in Å.
Element x y z (fractional)
Li  0.0000  0.0000  0.0000  2 Ru 2.65-2.88, 6 Li 2.67-2.68, 4 Tc 2.91
Li  0.5000  0.5000  0.2219  2 Tc 2.62-2.90, 6 Li 2.67-2.68, 4 Ru 2.90
Tc  0.5000  0.5000  0.6961  4 Ru 2.57, 1 Li 2.62, 2 Tc 2.67
Ru  0.0000  0.0000  0.5209  4 Tc 2.57, 2 Li 2.65-2.88, 2 Ru 2.67

Formation energy from the elements, eV per atom: 0.17
Magnetization, μB/atom: 0.000

---

Here is a relaxed Li2TcRu crystal from the Alexandria database. Energies are from PBE-GGA.

abc: 2.5277 2.5277 9.1461
angles: 90.00 90.00 106.91
Last column: nearest neighbours and their distance in Å.
Element x y z (fractional)
Li  0.0000  0.0000  0.2438  4 Li 2.53, 2 Ru 2.69, 2 Tc 2.78
Li  0.0000  0.0000  0.7562  4 Li 2.53, 2 Ru 2.69, 2 Tc 2.78
Tc  0.5000  0.5000  0.5000  4 Tc 2.53, 4 Li 2.78
Ru  0.5000  0.5000  0.0000  4 Ru 2.53, 4 Li 2.69

Formation energy from the elements, eV per atom: 0.25
Magnetization, μB/atom: 0.000

---

Here is a relaxed Li3TcRu crystal from the Alexandria database. Energies are from PBE-GGA.

abc: 4.3796 4.3796 4.3796
angles: 90.00 90.00 90.00
Last column: nearest neighbours and their distance in Å.
Element x y z (fractional)
Li  0.0000  0.0000  0.5000  2 Ru 2.19
Li  0.0000  0.5000  0.0000  2 Ru 2.19
Li  0.5000  0.0000  0.0000  2 Ru 2.19
Tc  0.5000  0.5000  0.5000  12 Li 3.10
Ru  0.0000  0.0000  0.0000  6 Li 2.19

Formation energy from the elements, eV per atom: 1.37
Magnetization, μB/atom: 0.688

---

Here is a relaxed Li2TcRu crystal from the Alexandria database. Energies are from PBE-GGA.

abc: 4.5974 4.5974 2.4411
angles: 90.00 90.00 90.00
Last column: nearest neighbours and their distance in Å.
Element x y z (fractional)
Li  0.0000  0.5000  0.0000  2 Li 2.44, 4 Ru 2.60, 4 Tc 2.60
Li  0.5000  0.0000  0.0000  2 Li 2.44, 4 Ru 2.60, 4 Tc 2.60
Tc  0.0000  0.0000  0.5000  2 Tc 2.44, 8 Li 2.60
Ru  0.5000  0.5000  0.5000  2 Ru 2.44, 8 Li 2.60

Formation energy from the elements, eV per atom: 0.53
Magnetization, μB/atom: 0.000

---

Here is a relaxed Li2TcRu crystal from the Alexandria database. Energies are from PBE-GGA.

abc: 5.2512 5.2512 5.2512
angles: 147.27 133.90 57.68
Last column: nearest neighbours and their distance in Å.
Element x y z (fractional)
Li  0.2454  0.2454  0.0000  4 Li 2.53, 2 Ru 2.70, 2 Tc 2.77
Li  0.7546  0.7546  0.0000  4 Li 2.53, 2 Ru 2.70, 2 Tc 2.77
Tc  0.5000  0.0000  0.5000  4 Ru 2.53, 4 Li 2.77
Ru  0.0000  0.5000  0.5000  4 Tc 2.53, 4 Li 2.70

Formation energy from the elements, eV per atom: 0.24
Magnetization, μB/atom: 0.000

---

Here is a relaxed LiTcRu crystal from the Alexandria database. Energies are from PBE-GGA.

abc: 4.0604 4.0604 4.0604
angles: 60.00 60.00 60.00
Last column: nearest neighbours and their distance in Å.
Element x y z (fractional)
Li  0.0000  0.0000  0.0000  4 Ru 2.49
Tc  0.5000  0.5000  0.5000  4 Ru 2.49
Ru  0.7500  0.7500  0.7500  4 Tc 2.49, 4 Li 2.49

Formation energy from the elements, eV per atom: 0.52
Magnetization, μB/atom: 0.000

---

Here is a relaxed LiVTcRu crystal from the Alexandria database. Energies are from PBE-GGA.

abc: 4.1973 4.1973 4.1973
angles: 60.00 60.00 60.00
Last column: nearest neighbours and their distance in Å.
Element x y z (fractional)
Li  0.0000  0.0000  0.0000  4 Tc 2.57, 4 Ru 2.57
V  0.5000  0.5000  0.5000  4 Ru 2.57, 4 Tc 2.57
Tc  0.2500  0.2500  0.2500  4 V 2.57, 4 Li 2.57
Ru  0.7500  0.7500  0.7500  4 V 2.57, 4 Li 2.57

Formation energy from the elements, eV per atom: 0.05
Magnetization, μB/atom: 0.000

---

Here is a relaxed LiTcRuW crystal from the Alexandria database. Energies are from PBE-GGA.

abc: 4.3011 4.3011 4.3011
angles: 60.00 60.00 60.00
Last column: nearest neighbours and their distance in Å.
Element x y z (fractional)
Li  0.0000  0.0000  0.0000  4 Tc 2.63, 4 Ru 2.63
Tc  0.2500  0.2500  0.2500  4 W 2.63, 4 Li 2.63
Ru  0.7500  0.7500  0.7500  4 W 2.63, 4 Li 2.63
W  0.5000  0.5000  0.5000  4 Ru 2.63, 4 Tc 2.63

Formation energy from the elements, eV per atom: 0.09
Magnetization, μB/atom: 0.000